Record 1
Material: Zr2CoS
Method: DFT, PBE-GGA
State: optimized geometry

total magnetic moment	0.000	μB per formula unit
E_tot	-7.487	eV/atom
density of states at the Fermi level	4.72	states/eV per cell
ΔE_f (raw)	-405	meV per atom

Cell lengths 6.7591, 6.7591, 5.7700 Å; angles 54.15, 54.15, 90.00 degrees
Sites, in units of the cell vectors:
Zr 0.6299 0.1250 0.2500
Co 0.7500 0.2500 0.5000
S 0.5000 0.5000 0.0000
Zr 0.3750 0.3701 0.7500
S 0.2500 0.7500 0.5000
Co 0.0000 0.0000 0.0000
Zr 0.1201 0.6250 0.2500
Zr 0.8750 0.8799 0.7500

Record 2
Material: LiCeSm2Se4
Method: DFT, PBE-GGA
State: optimized geometry

total magnetic moment	1.166	μB per formula unit
E_tot	-5.654	eV/atom
density of states at the Fermi level	7.47	states/eV per cell
ΔE_f (raw)	-1751	meV per atom

Cell lengths 4.1489, 7.1724, 7.2067 Å; angles 109.40, 90.00, 90.00 degrees
Each line ends with the local moment (μB).
Sites, in units of the cell vectors:
Se 0.0000 0.7573 0.2464  -0.01
Sm 0.5000 0.0000 0.5000  0.02
Sm 0.0000 0.5000 0.5000  0.07
Se 0.5000 0.2415 0.2434  0.00
Se 0.0000 0.2427 0.7536  -0.01
Li 0.0000 0.0000 0.0000  0.00
Ce 0.5000 0.5000 0.0000  0.88
Se 0.5000 0.7585 0.7566  0.00

- Look up the density of states at the Fermi level of the second one.
  7.47 states/eV per cell

- Look up the ΔE_f (raw) of the first one.
  -405 meV per atom

- What is the E_tot in the first record?
  -7.487 eV/atom